# Ag2PtBr (PBE, optimized geometry)
data_Ag2PtBr
_symmetry_space_group_name_H-M 'C 1 m 1'
_symmetry_Int_Tables_number 8
_symmetry_space_group_name_Hall 'C -2y'
_cell_length_a 13.737
_cell_length_b 3.056
_cell_length_c 4.577
_cell_angle_alpha 90.00
_cell_angle_beta 90.09
_cell_angle_gamma 90.00
loop_
_atom_site_label
_atom_site_fract_x
_atom_site_fract_y
_atom_site_fract_z
Ag1 0.000 0.000 0.000
Ag2 0.129 0.000 0.500
Pt1 0.460 0.000 0.500
Br1 0.299 0.500 0.501
# N(E_F) = 0.677 states/eV/f.u.
# E_form (uncorrected) = 0.57 eV per formula unit
# Polymorph energy (0 for the lowest one) = 11 meV per atom
# Total energy = -12.84 eV/f.u.